Density functional theory data (PBE-GGA) for Nb2SnRu2 after structural relaxation.

Unit cell a=7.0542 b=7.0542 c=2.9863 alpha=99.55 beta=99.55 gamma=37.00
Fractional coordinates of all 5 atoms:
Nb  0.1988  0.1988  0.1197
Nb  0.8012  0.8012  0.8803
Sn  0.0000  0.0000  0.5000
Ru  0.3793  0.3793  0.6096
Ru  0.6207  0.6207  0.3904

Values from the calculation:
DFT formation energy	-10.32	kJ/mol of atoms
SG	No. 12
crystal system	monoclinic
DOS at the Fermi energy	3.7	states/eV per cell